Entry from the Alexandria database: a geometry-optimized La4Cd2Au structure (GGA-PBE).

N(E_F): 9.4 states/eV per cell
formation energy from the elements: -287.9 meV per atom
VASP energy: -3.83 eV/atom
total magnetization: 0.003 μB per atom

Cell and atoms, written as extended XYZ:
```
7
Lattice="5.201 0.000 1.625 2.347 4.642 1.625 -0.076 -0.047 9.381" Properties=species:S:1:pos:R:3 pbc="T T T"
Cd 5.629 3.461 9.393
Cd 1.843 1.133 3.238
Au 0.000 0.000 0.000
La 6.588 4.051 6.322
La 0.883 0.543 6.309
La 4.715 2.899 3.181
La 2.756 1.695 9.450
```